1) A geometry-optimized Al3PI structure. Source: Alexandria, functional GGA-PBE.

```
Al3PI
1.0
5.4810 0.0000 0.0000
0.0000 5.4810 0.0000
0.0000 0.0000 5.4810
Al I P
3 1 1
direct
0.0000 0.0000 0.5000 Al
0.5000 0.0000 0.0000 Al
0.0000 0.5000 0.0000 Al
0.0000 0.0000 0.0000 I
0.5000 0.5000 0.5000 P
```

The theoretical density is 2.41 g/cm³. Its density of states at the Fermi level is 1.035 states/eV per atom.

2) A geometry-optimized Al3PI structure. Source: Alexandria, functional GGA-PBE.

```
Al3PI
1.0
5.0153 0.0000 0.0000
0.0000 5.0153 0.0000
0.0000 0.0000 5.0153
P Al I
1 3 1
direct
0.0000 0.0000 0.0000 P
0.5000 0.0000 0.0000 Al
0.0000 0.5000 0.0000 Al
0.0000 0.0000 0.5000 Al
0.5000 0.5000 0.5000 I
```

The theoretical density is 3.14 g/cm³. Its density of states at the Fermi level is 0.392 states/eV per atom.

Bottom line: 2), by a margin of 1.057 eV/atom.

1) A geometry-optimized AlPI3 structure. Source: Alexandria, functional GGA-PBE.

```
AlPI3
1.0
5.6251 0.0000 0.0000
0.0000 5.6251 0.0000
0.0000 0.0000 5.6251
P Al I
1 1 3
direct
0.5000 0.5000 0.5000 P
0.0000 0.0000 0.0000 Al
0.5000 0.0000 0.0000 I
0.0000 0.5000 0.0000 I
0.0000 0.0000 0.5000 I
```

The theoretical density is 4.09 g/cm³. Its density of states at the Fermi level is 0.867 states/eV per atom.

2) A geometry-optimized AlPI3 structure. Source: Alexandria, functional GGA-PBE.

```
AlPI3
1.0
-3.2806 3.7511 2.5275
-2.9887 -4.1412 2.2669
3.3951 -0.0210 4.4378
I P Al
3 1 1
direct
0.5000 0.0000 0.0000 I
0.0000 0.5000 0.0000 I
0.0000 0.0000 0.5000 I
0.0000 0.0000 0.0000 P
0.5000 0.5000 0.5000 Al
```

The theoretical density is 4.18 g/cm³. Its density of states at the Fermi level is 0.296 states/eV per atom.

Bottom line: 2), by a margin of 0.197 eV/atom.

1) A geometry-optimized AlPI2 structure. Source: Alexandria, functional GGA-PBE.

```
AlPI2
1.0
-2.4827 4.1501 2.3414
-4.5206 -2.8862 0.3224
-0.9481 -2.4539 9.5095
I P Al
4 2 2
direct
0.3750 0.3542 0.7500 I
0.6458 0.1250 0.2500 I
0.1042 0.6250 0.2500 I
0.8750 0.8958 0.7500 I
0.0000 0.0000 0.0000 P
0.7500 0.2500 0.5000 P
0.2500 0.7500 0.5000 Al
0.5000 0.5000 0.0000 Al
```

The theoretical density is 3.94 g/cm³. Its density of states at the Fermi level is 0.264 states/eV per atom.

2) A geometry-optimized AlPI2 structure. Source: Alexandria, functional GGA-PBE.

```
AlPI2
1.0
4.7154 -1.7473 1.4808
0.8380 -1.3740 4.9890
0.6492 -5.0483 1.2547
P Al I
1 1 2
direct
0.5000 0.5000 0.5000 P
0.0000 0.0000 0.0000 Al
0.7500 0.7500 0.7500 I
0.2500 0.2500 0.2500 I
```

The theoretical density is 5.08 g/cm³. Its density of states at the Fermi level is 1.045 states/eV per atom.

Bottom line: 1), by a margin of 0.100 eV/atom.

1) A geometry-optimized Al2PbI2 structure. Source: Alexandria, functional GGA-PBE.

```
Al2PbI2
1.0
9.0777 0.0000 0.0000
0.0000 9.0777 0.0000
0.0000 0.0000 4.0219
Al I Pb
4 4 2
direct
0.1728 0.6728 0.5000 Al
0.6728 0.8272 0.5000 Al
0.8272 0.3272 0.5000 Al
0.3272 0.1728 0.5000 Al
0.8518 0.6482 0.0000 I
0.3518 0.8518 0.0000 I
0.6482 0.1482 0.0000 I
0.1482 0.3518 0.0000 I
0.0000 0.0000 0.0000 Pb
0.5000 0.5000 0.0000 Pb
```

The theoretical density is 5.16 g/cm³. Its density of states at the Fermi level is 0.390 states/eV per atom.

2) A geometry-optimized Al2PbI2 structure. Source: Alexandria, functional GGA-PBE.

```
Al2PbI2
1.0
3.9151 0.0000 0.0000
0.0000 3.9151 0.0000
1.9576 1.9576 9.8223
Al Pb I
2 1 2
direct
0.2500 0.7500 0.5000 Al
0.7500 0.2500 0.5000 Al
0.0000 0.0000 0.0000 Pb
0.3901 0.3901 0.2197 I
0.6099 0.6099 0.7803 I
```

The theoretical density is 5.68 g/cm³. Its density of states at the Fermi level is 0.599 states/eV per atom.

Bottom line: 2), by a margin of 0.226 eV/atom.

1) A geometry-optimized AlSbPbI2 structure. Source: Alexandria, functional GGA-PBE.

```
AlSbPbI2
1.0
-5.0582 -3.1602 1.9632
3.6321 -3.4772 3.7608
-0.7813 4.0396 4.4895
Sb Al I Pb
1 1 2 1
direct
0.0000 0.0000 0.5000 Sb
0.5000 0.5000 0.5000 Al
0.5000 0.0000 0.0000 I
0.0000 0.5000 0.0000 I
0.0000 0.0000 0.0000 Pb
```

The theoretical density is 4.22 g/cm³. Its density of states at the Fermi level is 0.529 states/eV per atom.

2) A geometry-optimized AlSbPbI2 structure. Source: Alexandria, functional GGA-PBE.

```
AlSbPbI2
1.0
5.5058 0.0000 0.0000
0.0000 5.5058 0.0000
0.0000 0.0000 5.5951
Al I Pb Sb
1 2 1 1
direct
0.0000 0.0000 0.0000 Al
0.0000 0.5000 0.0000 I
0.5000 0.0000 0.0000 I
0.5000 0.5000 0.5000 Pb
0.0000 0.0000 0.5000 Sb
```

The theoretical density is 5.97 g/cm³. Its density of states at the Fermi level is 0.803 states/eV per atom.

Bottom line: 2), by a margin of 0.283 eV/atom.

1) A geometry-optimized AlTePbI2 structure. Source: Alexandria, functional GGA-PBE.

```
AlTePbI2
1.0
-4.0156 3.7128 -3.0223
2.1582 -1.8667 -5.1608
-4.2059 -4.6203 -0.0877
I Al Te Pb
2 1 1 1
direct
0.0000 0.0000 0.5000 I
0.5000 0.0000 0.0000 I
0.5000 0.5000 0.5000 Al
0.0000 0.5000 0.0000 Te
0.0000 0.0000 0.0000 Pb
```

The theoretical density is 4.44 g/cm³. Its density of states at the Fermi level is 0.726 states/eV per atom.

2) A geometry-optimized AlTePbI2 structure. Source: Alexandria, functional GGA-PBE.

```
AlTePbI2
1.0
-3.4711 3.3683 -2.6326
-2.0103 -4.2788 -2.8240
-3.8576 -0.8374 4.0147
Pb I Al Te
1 2 1 1
direct
0.5000 0.5000 0.5000 Pb
0.5000 0.0000 0.0000 I
0.0000 0.5000 0.0000 I
0.0000 0.0000 0.0000 Al
0.0000 0.0000 0.5000 Te
```

The theoretical density is 5.99 g/cm³. Its density of states at the Fermi level is 0.503 states/eV per atom.

Bottom line: 2), by a margin of 0.278 eV/atom.

1) A geometry-optimized AlTe2PbI structure. Source: Alexandria, functional GGA-PBE.

```
AlTe2PbI
1.0
-1.2556 5.6290 -1.1632
-5.7472 -1.2489 0.1602
-0.1001 1.2509 6.1612
I Al Pb Te
1 1 1 2
direct
0.0000 0.0000 0.5000 I
0.5000 0.5000 0.5000 Al
0.0000 0.0000 0.0000 Pb
0.5000 0.0000 0.0000 Te
0.0000 0.5000 0.0000 Te
```

The theoretical density is 4.70 g/cm³. Its density of states at the Fermi level is 1.228 states/eV per atom.

2) A geometry-optimized AlTe2PbI structure. Source: Alexandria, functional GGA-PBE.

```
AlTe2PbI
1.0
5.4469 0.0000 0.0000
0.0000 5.4469 0.0000
0.0000 0.0000 5.5279
Te I Al Pb
2 1 1 1
direct
0.5000 0.0000 0.0000 Te
0.0000 0.5000 0.0000 Te
0.0000 0.0000 0.5000 I
0.0000 0.0000 0.0000 Al
0.5000 0.5000 0.5000 Pb
```

The theoretical density is 6.24 g/cm³. Its density of states at the Fermi level is 0.449 states/eV per atom.

Bottom line: 2), by a margin of 0.447 eV/atom.

1) A geometry-optimized AlPdI3 structure. Source: Alexandria, functional GGA-PBE.

```
AlPdI3
1.0
-1.8152 -0.6117 -5.2253
-4.1895 -3.1753 1.8271
-3.1821 4.5295 0.5752
I Al Pd
3 1 1
direct
0.0000 0.5000 0.0000 I
0.0000 0.0000 0.5000 I
0.5000 0.0000 0.0000 I
0.0000 0.0000 0.0000 Al
0.5000 0.5000 0.5000 Pd
```

The theoretical density is 4.95 g/cm³. Its density of states at the Fermi level is 2.809 states/eV per atom.

2) A geometry-optimized AlPdI3 structure. Source: Alexandria, functional GGA-PBE.

```
AlPdI3
1.0
5.5367 0.0000 0.0000
0.0000 5.5367 0.0000
0.0000 0.0000 5.5367
Pd I Al
1 3 1
direct
0.0000 0.0000 0.0000 Pd
0.0000 0.0000 0.5000 I
0.5000 0.0000 0.0000 I
0.0000 0.5000 0.0000 I
0.5000 0.5000 0.5000 Al
```

The theoretical density is 5.03 g/cm³. Its density of states at the Fermi level is 0.264 states/eV per atom.

Bottom line: 2), by a margin of 0.241 eV/atom.

1) A geometry-optimized AlPd2I structure. Source: Alexandria, functional GGA-PBE.

```
AlPd2I
1.0
4.8980 0.0000 0.0000
0.0000 4.8980 0.0000
2.4490 2.4490 7.7100
Pd I Al
4 2 2
direct
0.1920 0.6250 0.2500 Pd
0.5580 0.1250 0.2500 Pd
0.8750 0.8080 0.7500 Pd
0.3750 0.4420 0.7500 Pd
0.0000 0.0000 0.0000 I
0.7500 0.2500 0.5000 I
0.2500 0.7500 0.5000 Al
0.5000 0.5000 0.0000 Al
```

The theoretical density is 6.58 g/cm³. Its density of states at the Fermi level is 0.040 states/eV per atom.

2) A geometry-optimized AlPd2I structure. Source: Alexandria, functional GGA-PBE.

```
AlPd2I
1.0
4.1340 -2.3030 -0.0747
2.3852 -0.7121 4.0253
0.3157 -4.3555 1.8247
Al Pd I
1 2 1
direct
0.0000 0.0000 0.0000 Al
0.2500 0.2500 0.2500 Pd
0.7500 0.7500 0.7500 Pd
0.5000 0.5000 0.5000 I
```

The theoretical density is 8.12 g/cm³. Its density of states at the Fermi level is 0.177 states/eV per atom.

Bottom line: 1), by a margin of 0.073 eV/atom.

1) A geometry-optimized AlPdI2 structure. Source: Alexandria, functional GGA-PBE.

```
AlPdI2
1.0
5.8881 0.0000 0.0000
0.0000 5.8881 0.0000
2.9441 2.9441 7.4997
I Pd Al
4 2 2
direct
0.8750 0.8840 0.7500 I
0.1160 0.6250 0.2500 I
0.3750 0.3660 0.7500 I
0.6340 0.1250 0.2500 I
0.0000 0.0000 0.0000 Pd
0.7500 0.2500 0.5000 Pd
0.2500 0.7500 0.5000 Al
0.5000 0.5000 0.0000 Al
```

The theoretical density is 4.95 g/cm³. Its density of states at the Fermi level is 0.403 states/eV per atom.

2) A geometry-optimized AlPdI2 structure. Source: Alexandria, functional GGA-PBE.

```
AlPdI2
1.0
0.0000 3.6755 3.6755
3.6755 0.0000 3.6755
3.6755 3.6755 0.0000
Al I Pd
1 2 1
direct
0.0000 0.0000 0.0000 Al
0.2500 0.2500 0.2500 I
0.7500 0.7500 0.7500 I
0.5000 0.5000 0.5000 Pd
```

The theoretical density is 6.47 g/cm³. Its density of states at the Fermi level is 0.912 states/eV per atom.

Bottom line: 1), by a margin of 0.182 eV/atom.

1) A geometry-optimized AlPd3I structure. Source: Alexandria, functional GGA-PBE.

```
AlPd3I
1.0
5.0262 0.0000 0.0000
0.0000 5.0262 0.0000
0.0000 0.0000 5.0262
Pd Al I
3 1 1
direct
0.5000 0.0000 0.0000 Pd
0.0000 0.0000 0.5000 Pd
0.0000 0.5000 0.0000 Pd
0.5000 0.5000 0.5000 Al
0.0000 0.0000 0.0000 I
```

The theoretical density is 6.19 g/cm³. Its density of states at the Fermi level is 0.000 states/eV per atom.

2) A geometry-optimized AlPd3I structure. Source: Alexandria, functional GGA-PBE.

```
AlPd3I
1.0
4.6975 0.0000 0.0000
0.0000 4.6975 0.0000
0.0000 0.0000 4.6975
I Pd Al
1 3 1
direct
0.5000 0.5000 0.5000 I
0.0000 0.5000 0.0000 Pd
0.5000 0.0000 0.0000 Pd
0.0000 0.0000 0.5000 Pd
0.0000 0.0000 0.0000 Al
```

The theoretical density is 7.58 g/cm³. Its density of states at the Fermi level is 0.002 states/eV per atom.

Bottom line: 2), by a margin of 0.486 eV/atom.

1) A geometry-optimized AlSbPdI2 structure. Source: Alexandria, functional GGA-PBE.

```
AlSbPdI2
1.0
5.4740 0.0000 0.0000
0.0000 5.4740 0.0000
0.0000 0.0000 5.3573
I Al Sb Pd
2 1 1 1
direct
0.0000 0.5000 0.0000 I
0.5000 0.0000 0.0000 I
0.0000 0.0000 0.0000 Al
0.0000 0.0000 0.5000 Sb
0.5000 0.5000 0.5000 Pd
```

The theoretical density is 5.26 g/cm³. Its density of states at the Fermi level is 1.082 states/eV per atom.

2) A geometry-optimized AlSbPdI2 structure. Source: Alexandria, functional GGA-PBE.

```
AlSbPdI2
1.0
5.6695 0.0000 0.0000
0.0000 5.6695 0.0000
0.0000 0.0000 5.1396
I Sb Al Pd
2 1 1 1
direct
0.5000 0.0000 0.0000 I
0.0000 0.5000 0.0000 I
0.0000 0.0000 0.5000 Sb
0.5000 0.5000 0.5000 Al
0.0000 0.0000 0.0000 Pd
```

The theoretical density is 5.12 g/cm³. Its density of states at the Fermi level is 0.778 states/eV per atom.

Bottom line: 2), by a margin of 0.264 eV/atom.